# 1
KLaAsPd: relaxed, GGA-PBE.

Properties
**ΔE_f**: -0.632 eV per atom
**Magnetization**: 0.01 μB/cell
**Uncorrected energy**: -18.4 eV per cell

Unit cell a=4.3318 b=4.4923 c=6.5601 alpha=90.00 beta=109.49 gamma=90.00
Closest atoms and distances in Å follow each position.
Positions (direct):
Pd: 0.8665 0.5000 0.5533  2 As 2.63, 2 La 2.88-2.89
As: 0.7560 0.0000 0.3321  2 Pd 2.63
K: 0.4785 0.0000 0.7766  4 Pd 3.41, 3 As 3.43-3.51
La: 0.2117 0.5000 0.2448  2 Pd 2.88-2.89, 4 As 3.17

***

# 2
KLaAsPd: relaxed, GGA-PBE.

Properties
**ΔE_f**: -0.646 eV per atom
**Magnetization**: 0.00 μB/cell
**Uncorrected energy**: -18.5 eV per cell

Unit cell a=3.9923 b=3.9923 c=7.5969 alpha=90.00 beta=90.00 gamma=90.00
Closest atoms and distances in Å follow each position.
Positions (direct):
As: 0.5000 0.5000 0.8191  1 Pd 2.61
K: 0.0000 0.0000 0.1339  1 La 3.56, 4 As 3.70, 4 Pd 3.84, 4 K 3.99
Pd: 0.5000 0.5000 0.4757  1 As 2.61
La: 0.0000 0.0000 0.6646  4 As 3.06, 4 Pd 3.17

***

# 3
KLaAs2Pd: relaxed, GGA-PBE.

Properties
**ΔE_f**: -0.175 eV per atom
**Magnetization**: 0.00 μB/cell
**Uncorrected energy**: -21.4 eV per cell

Unit cell a=5.1232 b=4.9934 c=5.1232 alpha=90.00 beta=90.00 gamma=90.00
Closest atoms and distances in Å follow each position.
Positions (direct):
As: 0.0000 0.0000 0.5000  2 Pd 2.56
La: 0.5000 0.5000 0.5000  8 As 3.58, 4 K 3.62
Pd: 0.0000 0.0000 0.0000  2 K 2.50, 4 As 2.56
As: 0.5000 0.0000 0.0000  2 Pd 2.56
K: 0.0000 0.5000 0.0000  2 Pd 2.50

***

# 4
KLaAsPd: relaxed, GGA-PBE.

Properties
**ΔE_f**: -0.603 eV per atom
**Magnetization**: 0.00 μB/cell
**Uncorrected energy**: -36.6 eV per cell

Unit cell a=4.5871 b=4.4831 c=10.8166 alpha=90.00 beta=89.92 gamma=90.00
Closest atoms and distances in Å follow each position.
Positions (direct):
K: 0.4666 0.0000 0.8053  3 Pd 3.15-3.18, 4 As 3.37
Pd: 0.4676 0.0000 0.0963  2 As 2.60
As: 0.9672 0.0000 0.2096  2 Pd 2.60
La: 0.9662 0.0000 0.5206  3 As 3.03-3.36, 4 Pd 3.30-3.32
La: 0.9662 0.5000 0.0206  3 As 3.03-3.36, 4 Pd 3.30-3.32
Pd: 0.4676 0.5000 0.5963  2 As 2.60
As: 0.9672 0.5000 0.7096  2 Pd 2.60
K: 0.4666 0.5000 0.3053  3 Pd 3.15-3.18, 4 As 3.37

***

# 5
KLaAsPd: relaxed, GGA-PBE.

Properties
**ΔE_f**: -0.575 eV per atom
**Magnetization**: 0.00 μB/cell
**Uncorrected energy**: -18.2 eV per cell

Unit cell a=4.4800 b=5.4417 c=6.5689 alpha=88.97 beta=70.14 gamma=65.71
Closest atoms and distances in Å follow each position.
Positions (direct):
La: 0.6323 0.0016 0.6511  3 Pd 2.96-3.05, 3 As 3.01-3.03
As: 0.9778 0.3884 0.5732  2 Pd 2.59
K: 0.6322 0.5038 0.1486  3 Pd 3.50-3.56, 3 As 3.52-3.56
Pd: 0.2959 0.6053 0.7204  2 As 2.59

***

# 6
KLaAsPd: relaxed, GGA-PBE.

Properties
**ΔE_f**: -0.664 eV per atom
**Magnetization**: 0.00 μB/cell
**Uncorrected energy**: -37.0 eV per cell

Unit cell a=8.5974 b=4.4927 c=7.7874 alpha=90.00 beta=107.83 gamma=90.00
Closest atoms and distances in Å follow each position.
Positions (direct):
Pd: 0.4696 0.5000 0.5223  3 As 2.60
K: 0.7555 0.5000 0.9527  3 Pd 3.49-3.50, 3 As 3.59
As: 0.4516 0.5000 0.1829  3 Pd 2.60
La: 0.2685 0.5000 0.7877  3 As 3.00, 3 Pd 3.07
La: 0.2685 0.0000 0.2877  3 As 3.00, 3 Pd 3.07
Pd: 0.4696 0.0000 0.0223  3 As 2.60
K: 0.7555 0.0000 0.4527  3 Pd 3.49-3.50, 3 As 3.59
As: 0.4516 0.0000 0.6829  3 Pd 2.60

***

# 7
KLa2AsRu: relaxed, GGA-PBE.

Properties
**ΔE_f**: -0.184 eV per atom
**Magnetization**: 0.00 μB/cell
**Uncorrected energy**: -25.8 eV per cell

Unit cell a=5.5093 b=5.0793 c=5.5093 alpha=90.00 beta=90.00 gamma=90.00
Closest atoms and distances in Å follow each position.
Positions (direct):
K: 0.5000 0.5000 0.5000  8 La 3.75, 4 As 3.90
La: 0.5000 0.0000 0.0000  2 Ru 2.75
La: 0.0000 0.0000 0.5000  2 Ru 2.75
As: 0.0000 0.5000 0.0000  2 Ru 2.54
Ru: 0.0000 0.0000 0.0000  2 As 2.54, 4 La 2.75

***

# 8
KLa2SbAs: relaxed, GGA-PBE.

Properties
**Magnetization**: 0.00 μB/cell
**Uncorrected energy**: -16.5 eV per cell

Unit cell a=5.6914 b=5.1723 c=5.6914 alpha=90.00 beta=90.00 gamma=90.00
Closest atoms and distances in Å follow each position.
Positions (direct):
K: 0.0000 0.0000 0.0000  2 As 2.59, 4 La 2.85
As: 0.0000 0.5000 0.0000  2 K 2.59
La: 0.0000 0.0000 0.5000  2 K 2.85
Sb: 0.5000 0.5000 0.5000  8 La 3.85, 4 As 4.02
La: 0.5000 0.0000 0.0000  2 K 2.85

***

# 9
KLaAsSe2: relaxed, GGA-PBE.

Properties
**Magnetization**: 0.00 μB/cell
**Uncorrected energy**: -17.3 eV per cell

Unit cell a=5.4629 b=5.4629 c=5.1539 alpha=90.00 beta=90.00 gamma=90.00
Closest atoms and distances in Å follow each position.
Positions (direct):
Se: 0.0000 0.5000 0.0000  2 K 2.73
As: 0.0000 0.0000 0.5000  2 K 2.58
K: 0.0000 0.0000 0.0000  2 As 2.58, 4 Se 2.73
La: 0.5000 0.5000 0.5000  8 Se 3.76, 4 As 3.86
Se: 0.5000 0.0000 0.0000  2 K 2.73

***

# 10
KLaAsSe2: relaxed, GGA-PBE.

Properties
**Magnetization**: 1.73 μB/cell
**Uncorrected energy**: -20.9 eV per cell

Unit cell a=5.8276 b=5.8276 c=5.9088 alpha=90.00 beta=90.00 gamma=90.00
Closest atoms and distances in Å follow each position.
Positions (direct):
Se: 0.5000 0.0000 0.0000  2 La 2.91
La: 0.0000 0.0000 0.0000  4 Se 2.91, 2 As 2.95
Se: 0.0000 0.5000 0.0000  2 La 2.91
As: 0.0000 0.0000 0.5000  2 La 2.95
K: 0.5000 0.5000 0.5000  4 As 4.12, 8 Se 4.15

***

# 11
KSrLaAs2: relaxed, GGA-PBE.

Properties
**ΔE_f**: -0.058 eV per atom
**Magnetization**: 0.00 μB/cell
**Uncorrected energy**: -17.3 eV per cell

Unit cell a=5.8033 b=5.9178 c=5.8033 alpha=90.00 beta=90.00 gamma=90.00
Closest atoms and distances in Å follow each position.
Positions (direct):
K: 0.0000 0.5000 0.0000  2 La 2.96
As: 0.0000 0.0000 0.5000  2 La 2.90
La: 0.0000 0.0000 0.0000  4 As 2.90, 2 K 2.96
Sr: 0.5000 0.5000 0.5000  4 K 4.10, 8 As 4.14
As: 0.5000 0.0000 0.0000  2 La 2.90

***

# 12
KLa2TeAs: relaxed, GGA-PBE.

Properties
**Magnetization**: 0.00 μB/cell
**Uncorrected energy**: -19.2 eV per cell

Unit cell a=6.0607 b=5.7276 c=6.0607 alpha=90.00 beta=90.00 gamma=90.00
Closest atoms and distances in Å follow each position.
Positions (direct):
As: 0.0000 0.5000 0.0000  2 Te 2.86
La: 0.0000 0.0000 0.5000  2 Te 3.03
Te: 0.0000 0.0000 0.0000  2 As 2.86, 4 La 3.03
K: 0.5000 0.5000 0.5000  8 La 4.17, 4 As 4.29
La: 0.5000 0.0000 0.0000  2 Te 3.03

***

# 13
KLiAs: relaxed, GGA-PBE.

Properties
**ΔE_f**: -0.319 eV per atom
**Magnetization**: 0.00 μB/cell
**Uncorrected energy**: -8.6 eV per cell

Unit cell a=4.8638 b=4.8638 c=3.6818 alpha=90.00 beta=90.00 gamma=120.00
Closest atoms and distances in Å follow each position.
Positions (direct):
Li: 0.3333 0.6667 0.8338  3 As 2.81
K: 0.6667 0.3333 0.3331  6 Li 3.36, 6 As 3.36, 2 K 3.68
As: 0.0000 0.0000 0.8331  3 Li 2.81

***

# 14
K4LiAs2: relaxed, GGA-PBE.

Properties
**ΔE_f**: -0.336 eV per atom
**Magnetization**: 1.09 μB/cell
**Uncorrected energy**: -18.0 eV per cell

Unit cell a=5.6967 b=5.6967 c=10.1087 alpha=73.63 beta=73.63 gamma=60.00
Closest atoms and distances in Å follow each position.
Positions (direct):
As: 0.9145 0.9145 0.2565  1 Li 2.45
K: 0.2054 0.2054 0.3838  4 As 3.44-3.51
Li: 0.0000 0.0000 0.0000  2 As 2.45
K: 0.6127 0.6127 0.1618  3 As 3.41, 3 Li 3.63
K: 0.7946 0.7946 0.6162  4 As 3.44-3.51
As: 0.0855 0.0855 0.7435  1 Li 2.45
K: 0.3873 0.3873 0.8382  3 As 3.41, 3 Li 3.63

***

# 15
KLiAs2: relaxed, GGA-PBE.

Properties
**ΔE_f**: -0.043 eV per atom
**Magnetization**: 0.00 μB/cell
**Uncorrected energy**: -12.5 eV per cell

Unit cell a=5.7725 b=5.7725 c=2.8239 alpha=90.00 beta=90.00 gamma=90.00
Closest atoms and distances in Å follow each position.
Positions (direct):
Li: 0.0000 0.5000 0.5000  2 Li 2.82
K: 0.5000 0.0000 0.5000  2 K 2.82
As: 0.0000 0.0000 0.0000  2 As 2.82
As: 0.5000 0.5000 0.0000  2 As 2.82

***

# 16
KLiAs2: relaxed, GGA-PBE.

Properties
**ΔE_f**: 0.006 eV per atom
**Magnetization**: 0.00 μB/cell
**Uncorrected energy**: -12.3 eV per cell

Unit cell a=5.0890 b=5.0890 c=5.0890 alpha=60.00 beta=60.00 gamma=60.00
Closest atoms and distances in Å follow each position.
Positions (direct):
As: 0.0000 0.0000 0.0000  4 As 3.12, 4 Li 3.12
K: 0.5000 0.5000 0.5000  4 Li 3.12, 4 As 3.12
Li: 0.7500 0.7500 0.7500  4 As 3.12, 4 K 3.12
As: 0.2500 0.2500 0.2500  4 K 3.12, 4 As 3.12

***

# 17
KLiAs: relaxed, GGA-PBE.

Properties
**ΔE_f**: -0.486 eV per atom
**Magnetization**: 0.00 μB/cell
**Uncorrected energy**: -18.2 eV per cell

Unit cell a=4.8112 b=6.9967 c=5.9530 alpha=81.65 beta=51.93 gamma=81.78
Closest atoms and distances in Å follow each position.
Positions (direct):
Li: 0.4578 0.1055 0.5089  4 As 2.56-2.76
As: 0.0683 0.9799 0.3714  4 Li 2.56-2.76, 1 As 2.64
As: 0.0185 0.2528 0.0405  4 Li 2.56-2.76, 1 As 2.64
K: 0.0795 0.4679 0.4542  2 Li 3.00-3.16, 1 As 3.24
Li: 0.6290 0.1272 0.9030  4 As 2.56-2.76
K: 0.0094 0.7646 0.9563  2 Li 3.01-3.16, 1 As 3.24

***

# 18
KLiAs2: relaxed, GGA-PBE.

Properties
**ΔE_f**: -0.290 eV per atom
**Magnetization**: 0.00 μB/cell
**Uncorrected energy**: -26.9 eV per cell

Unit cell a=5.0890 b=5.0890 c=9.5802 alpha=74.60 beta=74.60 gamma=90.00
Closest atoms and distances in Å follow each position.
Positions (direct):
K: 0.0000 0.0000 0.0000  4 Li 3.60, 8 As 3.60-3.62
Li: 0.5000 0.5000 0.0000  4 As 2.56
As: 0.3776 0.6250 0.2500  2 As 2.54, 2 Li 2.56
As: 0.8750 0.6224 0.7500  2 As 2.54, 2 Li 2.56
Li: 0.2500 0.7500 0.5000  4 As 2.56
As: 0.3750 0.6276 0.7500  2 As 2.54, 2 Li 2.56
As: 0.3724 0.1250 0.2500  2 As 2.54, 2 Li 2.56
K: 0.7500 0.2500 0.5000  4 Li 3.60, 8 As 3.60-3.62

***

# 19
K3LiAs: relaxed, GGA-PBE.

Properties
**ΔE_f**: 0.003 eV per atom
**Magnetization**: 1.00 μB/cell
**Uncorrected energy**: -9.8 eV per cell

Unit cell a=6.4763 b=6.4763 c=6.4763 alpha=90.00 beta=90.00 gamma=90.00
Closest atoms and distances in Å follow each position.
Positions (direct):
K: 0.0000 0.5000 0.0000  2 As 3.24
Li: 0.5000 0.5000 0.5000  12 K 4.58
K: 0.5000 0.0000 0.0000  2 As 3.24
K: 0.0000 0.0000 0.5000  2 As 3.24
As: 0.0000 0.0000 0.0000  6 K 3.24

***

# 20
K4LiAs: relaxed, GGA-PBE.

Properties
**ΔE_f**: 0.314 eV per atom
**Magnetization**: 0.00 μB/cell
**Uncorrected energy**: -9.1 eV per cell

Unit cell a=7.1515 b=7.1515 c=7.1515 alpha=60.00 beta=60.00 gamma=60.00
Closest atoms and distances in Å follow each position.
Positions (direct):
K: 0.3729 0.8814 0.3729  6 K 3.51-3.64
Li: 0.7500 0.7500 0.7500  12 K 4.20, 4 As 4.38
K: 0.3729 0.3729 0.8814  6 K 3.51-3.64
K: 0.8814 0.3729 0.3729  6 K 3.51-3.64
As: 0.0000 0.0000 0.0000  12 K 4.19, 4 Li 4.38
K: 0.3729 0.3729 0.3729  6 K 3.51-3.64